Entry from the Open Quantum Materials Database: a relaxed structure of Hg2TeO (PBE).

a = 6.340 Å, b = 4.086 Å, c = 14.949 Å
α = 90.00°, β = 90.00°, γ = 90.00°
Fractional positions:
Hg1 0.145 0.250 0.185
Hg2 0.158 0.750 0.389
Hg3 0.342 0.250 0.889
Hg4 0.355 0.750 0.685
Hg5 0.645 0.250 0.315
Hg6 0.658 0.750 0.111
Hg7 0.842 0.250 0.611
Hg8 0.855 0.750 0.815
Te1 0.233 0.750 0.059
Te2 0.267 0.250 0.559
Te3 0.733 0.750 0.441
Te4 0.767 0.250 0.941
O1 0.234 0.750 0.823
O2 0.266 0.250 0.323
O3 0.734 0.750 0.677
O4 0.766 0.250 0.177

Results
Distance to the lowest polymorph of the same formula ... 0 meV/atom
VASP energy ... -2.27 eV per atom



Entry from the Open Quantum Materials Database: a relaxed structure of Hg2TeO4 (PBE).

a = 7.028 Å, b = 7.028 Å, c = 5.013 Å
α = 102.27°, β = 102.27°, γ = 105.34°
Fractional positions:
Hg1 0.005 0.237 0.498
Hg2 0.237 0.005 0.998
Hg3 0.763 0.995 0.002
Hg4 0.995 0.763 0.502
Te1 0.410 0.590 0.250
Te2 0.590 0.410 0.750
O1 0.144 0.535 0.289
O2 0.318 0.418 0.847
O3 0.418 0.318 0.347
O4 0.465 0.856 0.211
O5 0.535 0.144 0.789
O6 0.582 0.682 0.653
O7 0.682 0.582 0.153
O8 0.856 0.465 0.711

Results
VASP energy ... -3.94 eV per atom



Entry from the Open Quantum Materials Database: a relaxed structure of Hg2Te2O5 (PBE).

a = 3.658 Å, b = 3.658 Å, c = 10.003 Å
α = 90.00°, β = 90.00°, γ = 90.00°
Fractional positions:
Hg1 0.000 0.000 0.232
Hg2 0.000 0.000 0.768
Te1 0.500 0.500 0.000
Te2 0.500 0.500 0.500
O1 0.000 0.000 0.000
O2 0.000 0.500 0.380
O3 0.000 0.500 0.620
O4 0.500 0.000 0.380
O5 0.500 0.000 0.620

Results
Distance to the lowest polymorph of the same formula ... 350 meV/atom
VASP energy ... -3.69 eV per atom



Entry from the Open Quantum Materials Database: a relaxed structure of Hg2TeO (PBE).

a = 4.043 Å, b = 4.043 Å, c = 13.357 Å
α = 90.00°, β = 90.00°, γ = 120.00°
Fractional positions:
Hg1 0.000 0.000 0.000
Hg2 0.000 0.000 0.500
Hg3 0.333 0.667 0.281
Hg4 0.667 0.333 0.781
Te1 0.333 0.667 0.629
Te2 0.667 0.333 0.129
O1 0.000 0.000 0.337
O2 0.000 0.000 0.837

Results
Distance to the lowest polymorph of the same formula ... 56 meV/atom
VASP energy ... -2.21 eV per atom



Entry from the Open Quantum Materials Database: a relaxed structure of HgTeO4 (PBE).

a = 5.207 Å, b = 6.090 Å, c = 5.188 Å
α = 90.00°, β = 98.03°, γ = 90.00°
Fractional positions:
Hg1 0.000 0.184 0.250
Hg2 0.000 0.816 0.750
Te1 0.500 0.350 0.750
Te2 0.500 0.650 0.250
O1 0.263 0.136 0.603
O2 0.263 0.864 0.103
O3 0.296 0.410 0.039
O4 0.296 0.590 0.539
O5 0.704 0.410 0.461
O6 0.704 0.590 0.961
O7 0.737 0.136 0.897
O8 0.737 0.864 0.397

Results
VASP energy ... -4.56 eV per atom



Entry from the Open Quantum Materials Database: a relaxed structure of Hg2TeO (PBE).

a = 7.551 Å, b = 7.551 Å, c = 6.212 Å
α = 90.00°, β = 90.00°, γ = 151.09°
Fractional positions:
Hg1 0.066 0.934 0.750
Hg2 0.379 0.621 0.750
Hg3 0.621 0.379 0.250
Hg4 0.934 0.066 0.250
Te1 0.273 0.727 0.250
Te2 0.727 0.273 0.750
O1 0.500 0.500 0.000
O2 0.500 0.500 0.500

Results
Distance to the lowest polymorph of the same formula ... 199 meV/atom
VASP energy ... -2.07 eV per atom



Entry from the Open Quantum Materials Database: a relaxed structure of HgTeO4 (PBE).

a = 5.197 Å, b = 5.210 Å, c = 6.110 Å
α = 90.15°, β = 90.37°, γ = 98.70°
Fractional positions:
Hg1 0.002 0.250 0.316
Hg2 0.998 0.750 0.684
Te1 0.500 0.250 0.852
Te2 0.500 0.750 0.148
O1 0.261 0.604 0.361
O2 0.264 0.100 0.636
O3 0.295 0.036 0.088
O4 0.296 0.537 0.908
O5 0.704 0.463 0.092
O6 0.705 0.964 0.912
O7 0.736 0.900 0.364
O8 0.739 0.396 0.639

Results
VASP energy ... -4.57 eV per atom



Entry from the Open Quantum Materials Database: a relaxed structure of Hg3TeO6 (PBE).

a = 11.643 Å, b = 11.643 Å, c = 11.643 Å
α = 109.47°, β = 109.47°, γ = 109.47°
Fractional positions:
Hg1 0.084 0.672 0.336
Hg2 0.087 0.335 0.172
Hg3 0.164 0.835 0.748
Hg4 0.165 0.252 0.836
Hg5 0.172 0.087 0.335
Hg6 0.248 0.413 0.584
Hg7 0.252 0.836 0.165
Hg8 0.328 0.664 0.916
Hg9 0.335 0.172 0.087
Hg10 0.336 0.084 0.672
Hg11 0.413 0.584 0.248
Hg12 0.416 0.752 0.587
Hg13 0.584 0.248 0.413
Hg14 0.587 0.416 0.752
Hg15 0.664 0.916 0.328
Hg16 0.665 0.828 0.913
Hg17 0.672 0.336 0.084
Hg18 0.748 0.164 0.835
Hg19 0.752 0.587 0.416
Hg20 0.828 0.913 0.665
Hg21 0.835 0.748 0.164
Hg22 0.836 0.165 0.252
Hg23 0.913 0.665 0.828
Hg24 0.916 0.328 0.664
Te1 0.000 0.000 0.000
Te2 0.000 0.000 0.500
Te3 0.000 0.500 0.000
Te4 0.000 0.500 0.500
Te5 0.500 0.000 0.000
Te6 0.500 0.000 0.500
Te7 0.500 0.500 0.000
Te8 0.500 0.500 0.500
O1 0.000 0.136 0.155
O2 0.000 0.864 0.845
O3 0.002 0.655 0.137
O4 0.018 0.364 0.364
O5 0.018 0.864 0.363
O6 0.136 0.155 0.000
O7 0.136 0.500 0.654
O8 0.136 0.637 0.982
O9 0.137 0.002 0.655
O10 0.154 0.518 0.155
O11 0.154 0.655 0.518
O12 0.155 0.000 0.136
O13 0.155 0.154 0.518
O14 0.345 0.482 0.846
O15 0.345 0.863 0.998
O16 0.346 0.502 0.364
O17 0.346 0.864 0.500
O18 0.363 0.018 0.864
O19 0.364 0.018 0.364
O20 0.364 0.346 0.502
O21 0.364 0.364 0.018
O22 0.482 0.845 0.846
O23 0.482 0.846 0.345
O24 0.498 0.636 0.654
O25 0.500 0.346 0.864
O26 0.500 0.654 0.136
O27 0.502 0.364 0.346
O28 0.518 0.154 0.655
O29 0.518 0.155 0.154
O30 0.636 0.636 0.982
O31 0.636 0.654 0.498
O32 0.636 0.982 0.636
O33 0.637 0.982 0.136
O34 0.654 0.136 0.500
O35 0.654 0.498 0.636
O36 0.655 0.137 0.002
O37 0.655 0.518 0.154
O38 0.845 0.000 0.864
O39 0.845 0.846 0.482
O40 0.846 0.345 0.482
O41 0.846 0.482 0.845
O42 0.863 0.998 0.345
O43 0.864 0.363 0.018
O44 0.864 0.500 0.346
O45 0.864 0.845 0.000
O46 0.982 0.136 0.637
O47 0.982 0.636 0.636
O48 0.998 0.345 0.863

Results
Distance to the lowest polymorph of the same formula ... 0 meV/atom
VASP energy ... -3.96 eV per atom



Q: Among the records above, which one has the highest VASP energy?
A: number 6



Q: Among the records above, which one has the lowest VASP energy?
A: number 7



What did the second record say?
Entry from the Open Quantum Materials Database: a relaxed structure of Hg2TeO4 (PBE).

a = 7.028 Å, b = 7.028 Å, c = 5.013 Å
α = 102.27°, β = 102.27°, γ = 105.34°
Fractional positions:
Hg1 0.005 0.237 0.498
Hg2 0.237 0.005 0.998
Hg3 0.763 0.995 0.002
Hg4 0.995 0.763 0.502
Te1 0.410 0.590 0.250
Te2 0.590 0.410 0.750
O1 0.144 0.535 0.289
O2 0.318 0.418 0.847
O3 0.418 0.318 0.347
O4 0.465 0.856 0.211
O5 0.535 0.144 0.789
O6 0.582 0.682 0.653
O7 0.682 0.582 0.153
O8 0.856 0.465 0.711

Results
VASP energy ... -3.94 eV per atom



Q: Which value of VASP energy does entry 8 give?
A: -3.96 eV per atom